[1]
Below is a geometry-optimized VW3 structure, with properties calculated at the GGA-PBE level.

Calculated values
The space group is Cmmm (65). The volume comes out at 255.58 Å³/cell. The value obtained for the energy of formation from the pure elements is 0.336 eV per atom. The calculated total energy comes out at -46.634 eV/f.u.

Cell: 7.274 7.274 5.055 Å, 90.00 90.00 107.14°
Positions (direct):
V 0.000 0.000 0.000
V 0.000 0.500 0.500
V 0.500 0.000 0.500
V 0.500 0.500 0.000
W 0.088 0.353 0.000
W 0.108 0.892 0.500
W 0.309 0.309 0.500
W 0.311 0.689 0.250
W 0.311 0.689 0.750
W 0.353 0.088 0.000
W 0.647 0.912 0.000
W 0.689 0.311 0.250
W 0.689 0.311 0.750
W 0.691 0.691 0.500
W 0.892 0.108 0.500
W 0.912 0.647 0.000

***

[2]
Below is a geometry-optimized ErInGeAu structure, with properties calculated at the GGA-PBE level.

Calculated values
The space group is F-43m (216). The volume comes out at 86.60 Å³/cell. The value obtained for the energy of formation from the pure elements is -0.408 eV per atom. The calculated total energy comes out at -16.829 eV/f.u.

Cell: 4.966 4.966 4.966 Å, 60.00 60.00 60.00°
Positions (direct):
Er 0.000 0.000 0.000
In 0.500 0.500 0.500
Ge 0.250 0.250 0.250
Au 0.750 0.750 0.750